# 1
Compound: SiNiSb2
Source: Alexandria
Functional: PBE-GGA
Structure: relaxed

Results
Formation energy from raw total energies = 0.402 eV per atom
Crystal system = monoclinic
Density of states at the Fermi level = 2.2 states/eV per cell

Structure (POSCAR):
```
SiNiSb2
1.0
6.399 -0.032 -0.074
-2.720 4.127 0.026
0.959 1.309 2.997
Si Sb Ni
1 2 1
Direct
0.000 0.500 0.500
0.000 0.000 0.000
0.500 0.000 0.500
0.500 0.500 0.000
```

# 2
Compound: SiNiSb2
Source: Alexandria
Functional: PBE-GGA
Structure: relaxed

Results
Formation energy from raw total energies = 0.113 eV per atom
Crystal system = tetragonal
Density of states at the Fermi level = 1.2 states/eV per cell

Structure (POSCAR):
```
SiNiSb2
1.0
3.308 0.000 0.000
0.000 3.310 0.000
0.000 0.000 7.515
Sb Si Ni
2 1 1
Direct
0.500 0.500 0.336
0.000 0.000 0.917
0.000 0.000 0.562
0.500 0.500 0.684
```

# 3
Compound: Si6Ni21Sb2
Source: Alexandria
Functional: PBE-GGA
Structure: relaxed

Results
Formation energy from raw total energies = -0.295 eV per atom
Crystal system = cubic
Density of states at the Fermi level = 31.6 states/eV per cell

Structure (POSCAR):
```
Si6Ni21Sb2
1.0
6.883 0.000 3.974
2.294 6.490 3.974
0.000 0.000 7.948
Si Sb Ni
6 2 21
Direct
0.269 0.731 0.269
0.269 0.269 0.731
0.731 0.731 0.269
0.731 0.269 0.269
0.269 0.731 0.731
0.731 0.269 0.731
0.250 0.250 0.250
0.750 0.750 0.750
0.000 0.000 0.653
0.653 0.000 0.347
0.000 0.653 0.347
0.379 0.379 0.379
0.000 0.000 0.347
0.621 0.138 0.621
0.621 0.621 0.621
0.379 0.379 0.862
0.347 0.653 0.000
0.138 0.621 0.621
0.000 0.347 0.653
0.621 0.621 0.138
0.653 0.347 0.000
0.347 0.000 0.000
0.379 0.862 0.379
0.862 0.379 0.379
0.000 0.653 0.000
0.000 0.347 0.000
0.000 0.000 0.000
0.347 0.000 0.653
0.653 0.000 0.000
```

# 4
Compound: SiNi2Sb
Source: Alexandria
Functional: PBE-GGA
Structure: relaxed

Results
Formation energy from raw total energies = -0.097 eV per atom
Crystal system = tetragonal
Density of states at the Fermi level = 1.4 states/eV per cell

Structure (POSCAR):
```
SiNi2Sb
1.0
-2.392 -1.587 0.698
-0.512 -0.489 -2.868
3.786 -5.585 0.278
Sb Ni Si
1 2 1
Direct
0.500 0.500 0.250
0.000 0.000 0.566
0.000 0.000 0.934
0.500 0.500 0.750
```

# 5
Compound: SiNi2Sb
Source: Alexandria
Functional: PBE-GGA
Structure: relaxed

Results
Formation energy from raw total energies = -0.068 eV per atom
Crystal system = tetragonal
Density of states at the Fermi level = 2.1 states/eV per cell

Structure (POSCAR):
```
SiNi2Sb
1.0
-1.255 0.150 -3.188
-0.135 -3.420 -0.108
-4.656 0.125 1.839
Ni Sb Si
2 1 1
Direct
0.500 0.500 0.274
0.000 0.000 0.954
0.000 0.000 0.460
0.500 0.500 0.812
```

# 6
Compound: Si2NiSb
Source: Alexandria
Functional: PBE-GGA
Structure: relaxed

Results
Formation energy from raw total energies = 0.462 eV per atom
Crystal system = orthorhombic
Density of states at the Fermi level = 2.5 states/eV per cell

Structure (POSCAR):
```
Si2NiSb
1.0
-1.960 3.541 -1.975
-2.967 -3.343 0.548
-0.882 1.312 3.229
Si Ni Sb
2 1 1
Direct
0.000 0.000 0.000
0.500 0.500 0.000
0.500 0.000 0.500
0.000 0.500 0.500
```

# 7
Compound: SiNiSb2
Source: Alexandria
Functional: PBE-GGA
Structure: relaxed

Results
Formation energy from raw total energies = 0.139 eV per atom
Crystal system = monoclinic
Density of states at the Fermi level = 2.4 states/eV per cell

Structure (POSCAR):
```
SiNiSb2
1.0
3.812 -0.019 0.016
1.892 3.309 0.016
1.924 1.110 6.380
Sb Si Ni
2 1 1
Direct
0.007 0.007 0.974
0.493 0.493 0.526
0.250 0.250 0.250
0.750 0.750 0.750
```

# 8
Compound: SiNiSb3
Source: Alexandria
Functional: PBE-GGA
Structure: relaxed

Results
Formation energy from raw total energies = 1.033 eV per atom
Crystal system = cubic
Density of states at the Fermi level = 3.3 states/eV per cell

Structure (POSCAR):
```
SiNiSb3
1.0
-2.071 -4.375 1.653
4.389 -1.195 2.338
-1.613 2.365 4.238
Sb Si Ni
3 1 1
Direct
0.000 0.500 0.000
0.000 0.000 0.500
0.500 0.000 0.000
0.000 0.000 0.000
0.500 0.500 0.500
```